La2AgTe after structural relaxation, computed with GGA-PBE.

Results
Raw formation energy in eV/atom: -0.679
N(E_F) in states/eV per cell: 4.21

Unit cell a=6.4634 b=6.4634 c=6.4634 alpha=141.37 beta=135.87 gamma=60.07
Closest atoms and distances in Å follow each position.
Element x y z (fractional)
La  0.7467  0.2467  0.5000  4 Ag 3.24, 2 Te 3.59, 4 La 3.61-3.62
Ag  0.2574  0.7574  0.5000  6 La 3.24-3.52, 2 Te 3.36
La  0.0070  0.0070  0.0000  4 Te 3.24, 2 Ag 3.52, 4 La 3.61-3.62
Te  0.4889  0.4889  0.0000  6 La 3.24-3.59, 2 Ag 3.36



LiTbSmBi after structural relaxation, computed with GGA-PBE.

Results
E_form in meV/atom: -334
N(E_F) in states/eV per cell: 4.06

Unit cell a=5.3567 b=5.3567 c=5.3567 alpha=60.00 beta=60.00 gamma=60.00
Closest atoms and distances in Å follow each position.
Element x y z (fractional)
Tb  0.7500  0.7500  0.7500  4 Li 3.28, 4 Bi 3.28
Li  0.0000  0.0000  0.0000  4 Tb 3.28, 4 Sm 3.28
Sm  0.2500  0.2500  0.2500  4 Li 3.28, 4 Bi 3.28
Bi  0.5000  0.5000  0.5000  4 Sm 3.28, 4 Tb 3.28



NpPb2S2O2 after structural relaxation, computed with GGA-PBE.

Results
Raw formation energy in eV/atom: -1.423
N(E_F) in states/eV per cell: 4.16

Unit cell a=4.0719 b=6.5014 c=6.8991 alpha=65.74 beta=72.84 gamma=71.75
Closest atoms and distances in Å follow each position.
Element x y z (fractional)
Pb  0.8014  0.6900  0.7071  3 O 2.54-2.75, 1 S 2.83
O  0.8182  0.2946  0.0691  1 Np 2.02
Pb  0.1986  0.3100  0.2929  3 O 2.54-2.75, 1 S 2.83
O  0.1818  0.7054  0.9309  1 Np 2.02
Np  0.0000  0.0000  0.0000  2 O 2.02
S  0.5777  0.1555  0.6891  2 Np 2.81, 1 Pb 2.83
S  0.4223  0.8445  0.3109  2 Np 2.81, 1 Pb 2.83



Mn2AuC after structural relaxation, computed with GGA-PBE.

Results
E_form in meV/atom: -8
N(E_F) in states/eV per cell: 1.88

Unit cell a=2.9327 b=2.9327 c=6.8012 alpha=77.55 beta=77.55 gamma=60.00
Closest atoms and distances in Å follow each position.
Element x y z (fractional)
Mn  0.2807  0.2807  0.1580  3 C 1.99
Au  0.5000  0.5000  0.5000  6 Mn 2.82, 6 Au 2.93
Mn  0.7193  0.7193  0.8420  3 C 1.99
C  0.0000  0.0000  0.0000  6 Mn 1.99



RbSn2Pt2 after structural relaxation, computed with GGA-PBE.

Results
E_form in meV/atom: -203
Relative energy among the computed polymorphs in meV/atom: 247
N(E_F) in states/eV per cell: 5.15

Unit cell a=8.5588 b=8.5588 c=3.1711 alpha=90.00 beta=90.00 gamma=90.00
Closest atoms and distances in Å follow each position.
Element x y z (fractional)
Sn  0.1441  0.6441  0.5000  6 Pt 2.85-3.14, 2 Sn 3.17
Rb  0.5000  0.5000  0.0000  2 Rb 3.17, 4 Pt 3.35
Pt  0.1317  0.3683  0.0000  6 Sn 2.85-3.14, 2 Pt 3.17
Pt  0.6317  0.1317  0.0000  6 Sn 2.85-3.14, 2 Pt 3.17
Rb  0.0000  0.0000  0.0000  2 Rb 3.17, 4 Pt 3.35
Pt  0.3683  0.8683  0.0000  6 Sn 2.85-3.14, 2 Pt 3.17
Sn  0.6441  0.8559  0.5000  6 Pt 2.85-3.14, 2 Sn 3.17
Pt  0.8683  0.6317  0.0000  6 Sn 2.85-3.14, 2 Pt 3.17
Sn  0.8559  0.3559  0.5000  6 Pt 2.85-3.14, 2 Sn 3.17
Sn  0.3559  0.1441  0.5000  6 Pt 2.85-3.14, 2 Sn 3.17



PuZrPaZn after structural relaxation, computed with GGA-PBE.

Results
E_form in meV/atom: 103
N(E_F) in states/eV per cell: 8.33

Unit cell a=4.9602 b=4.9602 c=4.9602 alpha=60.00 beta=60.00 gamma=60.00
Closest atoms and distances in Å follow each position.
Element x y z (fractional)
Pu  0.5000  0.5000  0.5000  4 Pa 3.04, 4 Zn 3.04
Zn  0.7500  0.7500  0.7500  4 Pu 3.04, 4 Zr 3.04
Pa  0.2500  0.2500  0.2500  4 Zr 3.04, 4 Pu 3.04
Zr  0.0000  0.0000  0.0000  4 Zn 3.04, 4 Pa 3.04



LiNp2TlO8 after structural relaxation, computed with GGA-PBE.

Results
Raw formation energy in eV/atom: -2.050
N(E_F) in states/eV per cell: 10.31

Unit cell a=5.3215 b=5.3215 c=6.4486 alpha=114.37 beta=114.37 gamma=90.00
Closest atoms and distances in Å follow each position.
Element x y z (fractional)
O  0.6208  0.1272  0.7932  2 Np 2.16-2.30, 1 Tl 2.20, 1 O 2.41
O  0.8728  0.8277  0.2068  2 Np 2.16-2.30, 1 Tl 2.20, 1 O 2.41
O  0.1723  0.6659  0.7932  2 Np 2.16-2.30, 1 Tl 2.20, 1 O 2.41
O  0.3341  0.3792  0.2068  2 Np 2.16-2.30, 1 Tl 2.20, 1 O 2.41
Np  0.5000  0.5000  0.0000  8 O 2.16-2.30
Li  0.7500  0.2500  0.5000  4 O 2.21
O  0.8790  0.4304  0.2971  2 Np 2.13-2.30, 1 Li 2.21
Np  0.2500  0.7500  0.5000  8 O 2.13-2.30
O  0.1333  0.1210  0.7029  2 Np 2.13-2.30, 1 Li 2.21
O  0.5696  0.5819  0.7029  2 Np 2.13-2.30, 1 Li 2.21
Tl  0.0000  0.0000  0.0000  4 O 2.20
O  0.4181  0.8667  0.2971  2 Np 2.13-2.30, 1 Li 2.21



PPtRh2 after structural relaxation, computed with GGA-PBE.

Results
E_form in meV/atom: 136
N(E_F) in states/eV per cell: 5.57

Unit cell a=2.8002 b=2.8002 c=8.6362 alpha=90.00 beta=90.00 gamma=119.99
Closest atoms and distances in Å follow each position.
Element x y z (fractional)
Rh  0.5000  0.5000  0.7249  2 P 2.34
Pt  0.5000  0.5000  0.2704  2 P 2.49, 2 Rh 2.75
Rh  0.0000  0.0000  0.9962  8 Rh 2.73-2.80, 2 Pt 2.75
P  0.0000  0.0000  0.5085  2 Rh 2.34, 2 Pt 2.49



Ac2Nd8Y after structural relaxation, computed with GGA-PBE.

Results
E_form in meV/atom: 27
Relative energy among the computed polymorphs in meV/atom: 0
N(E_F) in states/eV per cell: 18.50

Unit cell a=5.2943 b=8.3384 c=9.8503 alpha=104.85 beta=105.59 gamma=90.00
Closest atoms and distances in Å follow each position.
Element x y z (fractional)
Nd  0.1335  0.1718  0.2669  7 Nd 3.64-3.79, 2 Y 3.68, 3 Ac 3.79-3.83
Ac  0.2260  0.6405  0.4520  10 Nd 3.72-3.83, 2 Ac 3.80
Nd  0.0427  0.7283  0.0855  9 Nd 3.64-3.77, 2 Y 3.71, 1 Ac 3.74
Nd  0.9573  0.2717  0.9145  9 Nd 3.64-3.77, 2 Y 3.71, 1 Ac 3.74
Nd  0.4122  0.5507  0.8245  8 Nd 3.65-3.77, 1 Y 3.67, 3 Ac 3.77-3.80
Nd  0.8665  0.8282  0.7331  7 Nd 3.64-3.79, 2 Y 3.68, 3 Ac 3.79-3.83
Nd  0.6786  0.9070  0.3571  1 Y 3.67, 8 Nd 3.69-3.81, 3 Ac 3.72-3.73
Ac  0.7740  0.3595  0.5480  10 Nd 3.72-3.83, 2 Ac 3.80
Nd  0.3214  0.0930  0.6429  1 Y 3.67, 8 Nd 3.69-3.81, 3 Ac 3.72-3.73
Nd  0.5878  0.4493  0.1755  8 Nd 3.65-3.77, 1 Y 3.67, 3 Ac 3.77-3.80
Y  0.5000  0.0000  0.0000  12 Nd 3.67-3.71



CrSiPb after structural relaxation, computed with GGA-PBE.

Results
Raw formation energy in eV/atom: 0.359
Relative energy among the computed polymorphs in meV/atom: 0
N(E_F) in states/eV per cell: 1.65

Unit cell a=5.8281 b=5.8281 c=3.2620 alpha=73.75 beta=73.75 gamma=32.50
Closest atoms and distances in Å follow each position.
Element x y z (fractional)
Pb  0.3380  0.3380  0.6620  5 Si 2.99-3.30, 5 Cr 3.14-3.19, 4 Pb 3.26
Si  0.6175  0.6175  0.3825  4 Cr 2.44
Cr  0.0445  0.0445  0.9555  4 Si 2.44



Sm8SbIr2 after structural relaxation, computed with GGA-PBE.

Results
Raw formation energy in eV/atom: -0.449
N(E_F) in states/eV per cell: 12.45

Unit cell a=5.7566 b=7.9415 c=7.9415 alpha=113.59 beta=96.77 gamma=96.77
Closest atoms and distances in Å follow each position.
Element x y z (fractional)
Sm  0.5000  0.2468  0.7532  2 Ir 2.99, 1 Sb 3.28
Sm  0.7035  0.3855  0.3855  2 Ir 3.11, 1 Sb 3.31, 1 Sm 3.39
Sm  0.2965  0.6145  0.6145  2 Ir 3.11, 1 Sb 3.31, 1 Sm 3.39
Sm  0.0940  0.3308  0.0719  2 Ir 2.89-2.93
Ir  0.0000  0.6917  0.3083  8 Sm 2.89-3.11
Ir  0.0000  0.3083  0.6917  8 Sm 2.89-3.11
Sb  0.5000  0.0000  0.0000  8 Sm 3.28-3.64
Sm  0.9060  0.6692  0.9281  2 Ir 2.89-2.93
Sm  0.0940  0.0719  0.3308  2 Ir 2.89-2.93
Sm  0.5000  0.7532  0.2468  2 Ir 2.99, 1 Sb 3.28
Sm  0.9060  0.9281  0.6692  2 Ir 2.89-2.93



Ac2LaPaN4 after structural relaxation, computed with GGA-PBE.

Results
Raw formation energy in eV/atom: -1.329
N(E_F) in states/eV per cell: 3.31

Unit cell a=3.7208 b=6.4523 c=6.5558 alpha=108.96 beta=90.00 gamma=90.00
Closest atoms and distances in Å follow each position.
Element x y z (fractional)
Pa  0.0000  0.0000  0.0000  6 N 2.32-2.43
N  0.5000  0.7883  0.7962  2 Pa 2.43, 1 La 2.62, 1 Ac 2.71
N  0.5000  0.2117  0.2038  2 Pa 2.43, 1 La 2.62, 1 Ac 2.71
Ac  0.0000  0.5000  0.5000  6 N 2.89-2.98
N  0.0000  0.2269  0.7890  1 Pa 2.32
La  0.5000  0.5000  0.0000  6 N 2.62-2.63
N  0.0000  0.7731  0.2110  1 Pa 2.32
Ac  0.5000  0.0000  0.5000  6 N 2.71-2.72



Pm3Al3Pt2 after structural relaxation, computed with GGA-PBE.

Results
E_form in meV/atom: -877
Relative energy among the computed polymorphs in meV/atom: 0
N(E_F) in states/eV per cell: 12.96

Unit cell a=4.4776 b=5.7307 c=15.2711 alpha=90.00 beta=90.00 gamma=113.00
Closest atoms and distances in Å follow each position.
Element x y z (fractional)
Pm  0.9273  0.8545  0.1107  3 Pt 2.99-3.20, 5 Al 3.21-3.23
Pt  0.7893  0.5786  0.8937  4 Al 2.60-2.64
Al  0.3581  0.7161  0.9664  3 Pt 2.60-2.64
Pm  0.0727  0.1455  0.6107  3 Pt 2.99-3.20, 5 Al 3.21-3.23
Pm  0.0727  0.1455  0.8893  3 Pt 2.99-3.20, 5 Al 3.21-3.23
Al  0.6564  0.3129  0.7500  2 Pt 2.60
Pm  0.6426  0.2853  0.2500  5 Al 3.08-3.31, 4 Pt 3.22
Al  0.6419  0.2839  0.4664  3 Pt 2.60-2.64
Pm  0.3574  0.7147  0.7500  5 Al 3.08-3.31, 4 Pt 3.22
Pm  0.9273  0.8545  0.3893  3 Pt 2.99-3.20, 5 Al 3.21-3.23
Al  0.6419  0.2839  0.0336  3 Pt 2.60-2.64
Al  0.3581  0.7161  0.5336  3 Pt 2.60-2.64
Pt  0.7893  0.5786  0.6063  4 Al 2.60-2.64
Pt  0.2107  0.4214  0.3937  4 Al 2.60-2.64
Pt  0.2107  0.4214  0.1063  4 Al 2.60-2.64
Al  0.3436  0.6871  0.2500  2 Pt 2.60



SrTl3Ru after structural relaxation, computed with GGA-PBE.

Results
E_form in meV/atom: 58
Relative energy among the computed polymorphs in meV/atom: 0
N(E_F) in states/eV per cell: 5.48

Unit cell a=5.3128 b=5.3128 c=5.3128 alpha=90.00 beta=90.00 gamma=90.00
Closest atoms and distances in Å follow each position.
Element x y z (fractional)
Ru  0.0000  0.0000  0.0000  6 Tl 2.66
Tl  0.0000  0.0000  0.5000  2 Ru 2.66
Tl  0.0000  0.5000  0.0000  2 Ru 2.66
Sr  0.5000  0.5000  0.5000  12 Tl 3.76
Tl  0.5000  0.0000  0.0000  2 Ru 2.66



Tb16Sm7Th6 after structural relaxation, computed with GGA-PBE.

Results
E_form in meV/atom: 318
N(E_F) in states/eV per cell: 55.59

Unit cell a=11.1238 b=11.1238 c=11.1238 alpha=60.00 beta=60.00 gamma=60.00
Closest atoms and distances in Å follow each position.
Element x y z (fractional)
Tb  0.6579  0.0263  0.6579  3 Sm 3.22, 3 Th 3.52, 3 Tb 3.58
Sm  0.5000  0.0000  0.0000  8 Tb 3.22-3.45
Tb  0.3619  0.8794  0.8794  4 Sm 3.29-3.45, 3 Tb 3.58
Th  0.3309  0.3309  0.6691  4 Tb 3.52, 4 Th 3.76
Tb  0.8794  0.8794  0.3619  4 Sm 3.29-3.45, 3 Tb 3.58
Tb  0.1206  0.1206  0.1206  4 Sm 3.29-3.45, 3 Tb 3.58
Th  0.6691  0.3309  0.6691  4 Tb 3.52, 4 Th 3.76
Sm  0.0000  0.0000  0.5000  8 Tb 3.22-3.45
Tb  0.0263  0.6579  0.6579  3 Sm 3.22, 3 Th 3.52, 3 Tb 3.58
Tb  0.8794  0.3619  0.8794  4 Sm 3.29-3.45, 3 Tb 3.58
Tb  0.6381  0.1206  0.1206  4 Sm 3.29-3.45, 3 Tb 3.58
Tb  0.3421  0.9737  0.3421  3 Sm 3.22, 3 Th 3.52, 3 Tb 3.58
Tb  0.6579  0.6579  0.0263  3 Sm 3.22, 3 Th 3.52, 3 Tb 3.58
Tb  0.3421  0.3421  0.9737  3 Sm 3.22, 3 Th 3.52, 3 Tb 3.58
Tb  0.1206  0.1206  0.6381  4 Sm 3.29-3.45, 3 Tb 3.58
Tb  0.6579  0.6579  0.6579  3 Sm 3.22, 3 Th 3.52, 3 Tb 3.58
Th  0.6691  0.6691  0.3309  4 Tb 3.52, 4 Th 3.76
Tb  0.3421  0.3421  0.3421  3 Sm 3.22, 3 Th 3.52, 3 Tb 3.58
Tb  0.8794  0.8794  0.8794  4 Sm 3.29-3.45, 3 Tb 3.58
Sm  0.5000  0.5000  0.0000  8 Tb 3.22-3.45
Sm  0.5000  0.0000  0.5000  8 Tb 3.22-3.45
Th  0.3309  0.6691  0.3309  4 Tb 3.52, 4 Th 3.76
Th  0.3309  0.6691  0.6691  4 Tb 3.52, 4 Th 3.76
Tb  0.1206  0.6381  0.1206  4 Sm 3.29-3.45, 3 Tb 3.58
Sm  0.0000  0.5000  0.0000  8 Tb 3.22-3.45
Tb  0.9737  0.3421  0.3421  3 Sm 3.22, 3 Th 3.52, 3 Tb 3.58
Th  0.6691  0.3309  0.3309  4 Tb 3.52, 4 Th 3.76
Sm  0.0000  0.0000  0.0000  8 Tb 3.29
Sm  0.0000  0.5000  0.5000  8 Tb 3.22-3.45



Tc3SbPb after structural relaxation, computed with GGA-PBE.

Results
Raw formation energy in eV/atom: 1.622
Relative energy among the computed polymorphs in meV/atom: 0
N(E_F) in states/eV per cell: 6.90

Unit cell a=4.9074 b=4.9074 c=4.9074 alpha=90.00 beta=90.00 gamma=90.00
Closest atoms and distances in Å follow each position.
Element x y z (fractional)
Tc  0.0000  0.0000  0.5000  2 Sb 2.45
Pb  0.5000  0.5000  0.5000  12 Tc 3.47
Tc  0.5000  0.0000  0.0000  2 Sb 2.45
Tc  0.0000  0.5000  0.0000  2 Sb 2.45
Sb  0.0000  0.0000  0.0000  6 Tc 2.45



In4Sn5Pb4 after structural relaxation, computed with GGA-PBE.

Results
E_form in meV/atom: 36
N(E_F) in states/eV per cell: 6.01

Unit cell a=4.5890 b=9.3329 c=9.3330 alpha=86.53 beta=75.77 gamma=75.77
Closest atoms and distances in Å follow each position.
Element x y z (fractional)
Pb  0.2355  0.6149  0.9141  6 Sn 3.38-3.57, 4 In 3.39-3.67, 2 Pb 3.47
In  0.0700  0.5463  0.3136  5 In 3.36-3.47, 4 Pb 3.39-3.67, 3 Sn 3.42-3.68
Pb  0.8504  0.9141  0.3851  6 Sn 3.38-3.57, 4 In 3.39-3.67, 2 Pb 3.46-3.47
Pb  0.1496  0.0859  0.6149  6 Sn 3.38-3.57, 4 In 3.39-3.67, 2 Pb 3.46-3.47
In  0.9300  0.4537  0.6864  5 In 3.36-3.47, 4 Pb 3.39-3.67, 3 Sn 3.42-3.68
Sn  0.6880  0.8509  0.7732  4 Sn 3.36-3.47, 5 Pb 3.38-3.56, 3 In 3.42-3.68
In  0.3837  0.6864  0.5463  5 In 3.36-3.47, 4 Pb 3.39-3.67, 3 Sn 3.42-3.68
Pb  0.7645  0.3851  0.0859  6 Sn 3.38-3.57, 4 In 3.39-3.67, 2 Pb 3.47
Sn  0.4612  0.2268  0.8509  4 Sn 3.36-3.47, 5 Pb 3.38-3.56, 3 In 3.42-3.68
In  0.6163  0.3136  0.4537  5 In 3.36-3.47, 4 Pb 3.39-3.67, 3 Sn 3.42-3.68
Sn  0.3120  0.1491  0.2268  4 Sn 3.36-3.47, 5 Pb 3.38-3.56, 3 In 3.42-3.68
Sn  0.0000  0.0000  0.0000  8 Sn 3.36, 4 Pb 3.57
Sn  0.5388  0.7732  0.1491  4 Sn 3.36-3.47, 5 Pb 3.38-3.56, 3 In 3.42-3.68



NaPuGe4 after structural relaxation, computed with GGA-PBE.

Results
E_form in meV/atom: -133
N(E_F) in states/eV per cell: 9.95

Unit cell a=5.5889 b=5.5889 c=5.5889 alpha=60.00 beta=60.00 gamma=60.00
Closest atoms and distances in Å follow each position.
Element x y z (fractional)
Ge  0.1272  0.6243  0.6243  6 Ge 2.78-2.81
Na  0.0000  0.0000  0.0000  12 Ge 3.28, 4 Pu 3.42
Pu  0.2500  0.2500  0.2500  12 Ge 3.28, 4 Na 3.42
Ge  0.6243  0.6243  0.6243  6 Ge 2.78-2.81
Ge  0.6243  0.6243  0.1272  6 Ge 2.78-2.81
Ge  0.6243  0.1272  0.6243  6 Ge 2.78-2.81



GdScNi after structural relaxation, computed with GGA-PBE.

Results
E_form in meV/atom: -133
Relative energy among the computed polymorphs in meV/atom: 114
N(E_F) in states/eV per cell: 3.13

Unit cell a=4.6185 b=4.6185 c=4.6185 alpha=60.00 beta=60.00 gamma=60.00
Closest atoms and distances in Å follow each position.
Element x y z (fractional)
Ni  0.2500  0.2500  0.2500  4 Gd 2.83, 4 Sc 2.83
Sc  0.5000  0.5000  0.5000  4 Ni 2.83
Gd  0.0000  0.0000  0.0000  4 Ni 2.83



NdHg3Pd after structural relaxation, computed with GGA-PBE.

Results
E_form in meV/atom: -98
N(E_F) in states/eV per cell: 5.23

Unit cell a=5.5773 b=5.5773 c=10.0952 alpha=106.04 beta=106.04 gamma=90.00
Closest atoms and distances in Å follow each position.
Element x y z (fractional)
Hg  0.6920  0.6920  0.3841  2 Pd 2.99
Hg  0.3080  0.3080  0.6159  2 Pd 2.99
Hg  0.1251  0.8716  0.2502  2 Pd 2.70-2.72, 2 Hg 2.75-2.83
Pd  0.2500  0.7500  0.5000  8 Hg 2.70-2.99
Nd  0.9366  0.4366  0.8732  2 Pd 3.03, 4 Hg 3.33
Nd  0.5634  0.0634  0.1268  2 Pd 3.03, 4 Hg 3.33
Hg  0.1284  0.8749  0.7498  2 Pd 2.70-2.72, 2 Hg 2.75-2.83
Pd  0.0000  0.0000  0.0000  4 Hg 2.72, 4 Nd 3.03
Hg  0.1251  0.3786  0.2502  2 Pd 2.70-2.72, 2 Hg 2.75-2.83
Hg  0.6214  0.8749  0.7498  2 Pd 2.70-2.72, 2 Hg 2.75-2.83